VASP calculation (PBE+U) on crystalline Ac3Sc2NiO9 at its relaxed geometry.

Geometry as POSCAR:
```
Ac3Sc2NiO9
1.0
5.7324 0.0000 0.0000
-2.8662 4.9644 0.0000
0.0000 0.0000 7.0439
Ac Sc Ni O
3 2 1 9
direct
0.0000 0.0000 0.0000
0.3333 0.6667 0.6574
0.6667 0.3333 0.3426
0.3333 0.6667 0.1701
0.6667 0.3333 0.8299
0.0000 0.0000 0.5000
0.0000 0.5000 0.0000
0.1634 0.3268 0.3392
0.1634 0.8366 0.3392
0.3268 0.1634 0.6608
0.5000 0.0000 0.0000
0.5000 0.5000 0.0000
0.6732 0.8366 0.3392
0.8366 0.1634 0.6608
0.8366 0.6732 0.6608
```

E = -116.65 eV per cell